# 1
A relaxed structure of AsIr3Br, computed with GGA-PBE.

Summary:
* ρ: 12.0 Mg/m³
* ΔE_f (raw): 1.404 eV/atom
* crystal system: cubic
* spin magnetization: 0.20 μB per atom
* calculated total energy: -5.18 eV/atom
* distance to the lowest polymorph of the same formula: 0 meV/atom
* SG: Pm-3m, No. 221

Structure (POSCAR):
```
AsIr3Br
1.0
4.6567 0.0000 0.0000
0.0000 4.6567 0.0000
0.0000 0.0000 4.6567
As Ir Br
1 3 1
Cartesian
0.0000 0.0000 0.0000 As
0.0000 0.0000 2.3283 Ir
0.0000 2.3283 0.0000 Ir
2.3283 0.0000 0.0000 Ir
2.3283 2.3283 2.3283 Br
```

---

# 2
A relaxed structure of Ge6IrRh, computed with GGA-PBE.

Summary:
* ΔE_f: -0.09 eV per atom
* ρ: 8.1 Mg/m³
* crystal system: triclinic
* spin magnetization: 0.00 μB per atom
* calculated total energy: -5.58 eV/atom
* SG: P-1, No. 2

Structure (POSCAR):
```
Ge6IrRh
1.0
4.3613 0.0000 0.0000
-1.8748 5.9027 0.0000
-1.9386 -1.4353 5.8196
Ge Ir Rh
6 1 1
Cartesian
-0.4538 -0.0125 1.8870 Ge
-1.6527 2.3600 4.4525 Ge
-0.5306 4.0191 1.3257 Ge
1.0785 0.4484 4.4939 Ge
2.2006 2.1075 1.3671 Ge
1.0017 4.4799 3.9326 Ge
0.2740 2.2337 2.9098 Ir
2.1806 0.0000 0.0000 Rh
```

---

# 3
A relaxed structure of VH3Se, computed with GGA-PBE.

Summary:
* ρ: 4.2 Mg/m³
* crystal system: cubic
* spin magnetization: 0.75 μB per atom
* calculated total energy: -3.47 eV/atom
* distance to the lowest polymorph of the same formula: 672 meV/atom
* SG: Pm-3m, No. 221

Structure (POSCAR):
```
VH3Se
1.0
3.7376 0.0000 0.0000
0.0000 3.7376 0.0000
0.0000 0.0000 3.7376
V H Se
1 3 1
Cartesian
0.0000 0.0000 0.0000 V
0.0000 1.8688 1.8688 H
1.8688 0.0000 1.8688 H
1.8688 1.8688 0.0000 H
1.8688 1.8688 1.8688 Se
```

---

# 4
A relaxed structure of BeTlCoCu2, computed with GGA-PBE.

Summary:
* ΔE_f: 1.18 eV per atom
* ρ: 6.8 Mg/m³
* crystal system: tetragonal
* spin magnetization: 0.26 μB per atom
* calculated total energy: -3.09 eV/atom
* SG: P4/mmm, No. 123

Structure (POSCAR):
```
BeTlCoCu2
1.0
4.4734 0.0000 0.0000
0.0000 4.4734 0.0000
0.0000 0.0000 4.8640
Be Tl Co Cu
1 1 1 2
Cartesian
0.0000 0.0000 0.0000 Be
2.2367 2.2367 0.0000 Tl
2.2367 2.2367 2.4320 Co
0.0000 2.2367 2.4320 Cu
2.2367 0.0000 2.4320 Cu
```

---

# 5
A relaxed structure of K2BaTaRe, computed with GGA-PBE.

Summary:
* ΔE_f: 2.49 eV per atom
* ρ: 3.7 Mg/m³
* crystal system: tetragonal
* spin magnetization: 1.73 μB per atom
* calculated total energy: -3.19 eV/atom
* SG: P4/mmm, No. 123

Structure (POSCAR):
```
K2BaTaRe
1.0
6.4228 0.0000 0.0000
0.0000 6.4228 0.0000
0.0000 0.0000 6.3561
K Ba Ta Re
2 1 1 1
Cartesian
0.0000 3.2114 0.0000 K
3.2114 0.0000 0.0000 K
0.0000 0.0000 3.1780 Ba
0.0000 0.0000 0.0000 Ta
3.2114 3.2114 3.1780 Re
```

---

# 6
A relaxed structure of Sr2YCoIr, computed with GGA-PBE.

Summary:
* ΔE_f: 0.52 eV per atom
* ρ: 5.6 Mg/m³
* crystal system: tetragonal
* spin magnetization: 0.00 μB per atom
* calculated total energy: -4.64 eV/atom
* SG: P4/mmm, No. 123

Structure (POSCAR):
```
Sr2YCoIr
1.0
5.8041 0.0000 0.0000
0.0000 5.8041 0.0000
0.0000 0.0000 4.5661
Sr Y Co Ir
2 1 1 1
Cartesian
0.0000 2.9021 0.0000 Sr
2.9021 0.0000 0.0000 Sr
0.0000 0.0000 2.2831 Y
2.9021 2.9021 2.2831 Co
2.9021 2.9021 0.0000 Ir
```

---

# 7
A relaxed structure of NiSb6Ir, computed with GGA-PBE.

Summary:
* ρ: 8.0 Mg/m³
* ΔE_f (raw): -0.223 eV/atom
* crystal system: monoclinic
* spin magnetization: 0.00 μB per atom
* calculated total energy: -5.15 eV/atom
* SG: C2/m, No. 12

Structure (POSCAR):
```
NiSb6Ir
1.0
6.5941 -4.6706 0.0000
6.5941 4.6706 0.0000
-6.5927 0.0000 6.5994
Ni Sb Ir
2 12 2
Cartesian
3.2970 2.3353 0.0000 Ni
3.2970 -2.3353 0.0000 Ni
4.3352 3.2085 2.2072 Sb
2.2603 3.2085 4.3923 Sb
-1.0584 1.5093 5.5903 Sb
3.2811 0.0000 1.1616 Sb
1.2504 0.0000 3.2541 Sb
7.6539 1.5093 1.0091 Sb
-1.0584 -1.5093 5.5903 Sb
5.3450 0.0000 3.3454 Sb
3.3144 0.0000 5.4379 Sb
7.6539 -1.5093 1.0091 Sb
4.3352 -3.2085 2.2072 Sb
2.2603 -3.2085 4.3923 Sb
0.0007 2.3353 3.2997 Ir
0.0007 -2.3353 3.2997 Ir
```

---

# 8
A relaxed structure of BaSn6Se8, computed with GGA-PBE.

Summary:
* ρ: 5.6 Mg/m³
* ΔE_f (raw): -0.558 eV/atom
* crystal system: trigonal
* spin magnetization: 0.00 μB per atom
* calculated total energy: -4.15 eV/atom
* distance to the lowest polymorph of the same formula: 0 meV/atom
* SG: P-3, No. 147

Structure (POSCAR):
```
BaSn6Se8
1.0
10.7886 0.0000 0.0000
-5.3943 9.3432 0.0000
0.0000 0.0000 4.3852
Ba Sn Se
1 6 8
Cartesian
0.0000 0.0000 0.0000 Ba
-0.9798 4.3084 1.0003 Sn
-1.1732 8.0376 1.0003 Sn
3.2412 3.0027 3.3848 Sn
2.1531 6.3405 1.0003 Sn
6.5675 1.3056 3.3848 Sn
6.3741 5.0348 3.3848 Sn
-3.6098 6.7343 1.1443 Se
1.3671 2.8499 1.1443 Se
3.1516 0.2410 3.2409 Se
0.0000 6.2288 3.2759 Se
5.3943 3.1144 1.1093 Se
2.2427 9.1022 1.1443 Se
4.0272 6.4933 3.2409 Se
9.0041 2.6089 3.2409 Se
```

---

# 9
A relaxed structure of BaCaP, computed with GGA-PBE.

Summary:
* ΔE_f: -0.66 eV per atom
* ρ: 3.3 Mg/m³
* crystal system: tetragonal
* spin magnetization: 0.24 μB per atom
* calculated total energy: -3.77 eV/atom
* SG: I4mm, No. 107

Structure (POSCAR):
```
BaCaP
1.0
3.8463 0.0000 0.0000
0.0000 3.8463 0.0000
0.0000 0.0000 14.0569
Ba Ca P
2 2 2
Cartesian
0.0000 0.0000 0.0000 Ba
1.9232 1.9232 7.0284 Ba
0.0000 0.0000 3.1920 Ca
1.9232 1.9232 10.2205 Ca
0.0000 0.0000 8.9235 P
1.9232 1.9232 1.8951 P
```

---

# 10
A relaxed structure of ZrHgAu2, computed with GGA-PBE.

Summary:
* ΔE_f: -0.16 eV per atom
* ρ: 14.0 Mg/m³
* crystal system: tetragonal
* spin magnetization: 0.00 μB per atom
* calculated total energy: -4.01 eV/atom
* SG: P4/mmm, No. 123

Structure (POSCAR):
```
ZrHgAu2
1.0
4.6749 0.0000 0.0000
0.0000 4.6749 0.0000
0.0000 0.0000 3.7159
Zr Hg Au
1 1 2
Cartesian
0.0000 0.0000 0.0000 Zr
2.3374 2.3374 0.0000 Hg
0.0000 2.3374 1.8579 Au
2.3374 0.0000 1.8579 Au
```

---

# 11
A relaxed structure of CaScS3, computed with GGA-PBE.

Summary:
* ρ: 2.5 Mg/m³
* ΔE_f (raw): -1.370 eV/atom
* crystal system: cubic
* spin magnetization: 0.00 μB per atom
* calculated total energy: -5.51 eV/atom
* SG: Pm-3m, No. 221

Structure (POSCAR):
```
CaScS3
1.0
4.9126 0.0000 0.0000
0.0000 4.9126 0.0000
0.0000 0.0000 4.9126
Ca Sc S
1 1 3
Cartesian
0.0000 0.0000 0.0000 Ca
2.4563 2.4563 2.4563 Sc
0.0000 2.4563 2.4563 S
2.4563 0.0000 2.4563 S
2.4563 2.4563 0.0000 S
```

---

# 12
A relaxed structure of SrAlHgAu2, computed with GGA-PBE.

Summary:
* ΔE_f: -0.38 eV per atom
* ρ: 9.1 Mg/m³
* crystal system: tetragonal
* spin magnetization: 0.00 μB per atom
* calculated total energy: -2.83 eV/atom
* SG: P4/mmm, No. 123

Structure (POSCAR):
```
SrAlHgAu2
1.0
4.9963 0.0000 0.0000
0.0000 4.9963 0.0000
0.0000 0.0000 5.1934
Sr Al Hg Au
1 1 1 2
Cartesian
0.0000 0.0000 0.0000 Sr
2.4981 2.4981 2.5967 Al
2.4981 2.4981 0.0000 Hg
0.0000 2.4981 2.5967 Au
2.4981 0.0000 2.5967 Au
```

---

# 13
A relaxed structure of Ac2CoP3Rh4, computed with GGA-PBE.

Summary:
* ΔE_f: -0.86 eV per atom
* ρ: 9.4 Mg/m³
* crystal system: tetragonal
* spin magnetization: 0.19 μB per atom
* calculated total energy: -6.96 eV/atom
* SG: P-4m2, No. 115

Structure (POSCAR):
```
Ac2CoP3Rh4
1.0
4.2384 0.0000 0.0000
0.0000 4.2384 0.0000
0.0000 0.0000 9.9683
Ac Co P Rh
2 1 3 4
Cartesian
0.0000 2.1192 2.4315 Ac
2.1192 0.0000 7.5368 Ac
2.1192 2.1192 0.0000 Co
0.0000 0.0000 0.0000 P
0.0000 2.1192 6.3073 P
2.1192 0.0000 3.6610 P
0.0000 0.0000 4.9842 Rh
0.0000 2.1192 8.7552 Rh
2.1192 0.0000 1.2131 Rh
2.1192 2.1192 4.9842 Rh
```

---

# 14
A relaxed structure of Sc3Ni5, computed with GGA-PBE.

Summary:
* ΔE_f: -0.36 eV per atom
* ρ: 5.9 Mg/m³
* crystal system: triclinic
* spin magnetization: 0.00 μB per atom
* calculated total energy: -6.35 eV/atom
* distance to the lowest polymorph of the same formula: 53 meV/atom
* SG: P-1, No. 2

Structure (POSCAR):
```
Sc3Ni5
1.0
5.6056 0.0000 0.0000
1.6510 6.2449 0.0000
2.7976 0.0068 6.8316
Sc Ni
6 10
Cartesian
1.2831 1.7385 0.0042 Sc
2.7986 0.0053 4.4660 Sc
3.6273 3.1283 3.8192 Sc
6.4269 3.1234 3.0125 Sc
7.2556 6.2464 2.3657 Sc
8.7711 4.5132 6.8274 Sc
2.5978 3.7384 1.2852 Ni
2.6974 1.2066 2.1149 Ni
6.1611 5.6004 6.8309 Ni
5.3983 3.7382 5.5439 Ni
4.5585 5.0488 2.1169 Ni
5.4957 1.2029 4.7148 Ni
4.6559 2.5135 1.2878 Ni
3.8932 0.6513 0.0008 Ni
7.3568 5.0451 4.7167 Ni
7.4564 2.5133 5.5465 Ni
```

---

# 15
A relaxed structure of AcPm6Pr2Y, computed with GGA-PBE.

Summary:
* ΔE_f: 0.11 eV per atom
* ρ: 6.8 Mg/m³
* crystal system: monoclinic
* spin magnetization: 0.00 μB per atom
* calculated total energy: -4.75 eV/atom
* SG: C2/c, No. 15

Structure (POSCAR):
```
AcPm6Pr2Y
1.0
4.6726 -7.8435 0.0000
4.6726 7.8435 0.0000
-1.0987 0.0000 9.8317
Ac Pm Pr Y
2 12 4 2
Cartesian
3.8486 7.4938 7.3738 Ac
4.3979 -7.4938 2.4579 Ac
1.9640 4.2815 6.7499 Pm
4.0277 4.8400 0.5421 Pm
4.7681 4.8400 4.3738 Pm
2.7323 1.6618 8.6703 Pm
5.7332 4.2815 7.9976 Pm
4.9649 1.6618 6.0772 Pm
3.2816 -1.6618 3.7545 Pm
2.5133 -4.2815 1.8340 Pm
5.5143 -1.6618 1.1613 Pm
3.4784 -4.8400 5.4579 Pm
4.2188 -4.8400 9.2896 Pm
6.2826 -4.2815 3.0818 Pm
1.7900 0.8944 5.3500 Pr
2.3393 -0.8944 0.4342 Pr
5.9072 0.8944 9.3975 Pr
6.4565 -0.8944 4.4817 Pr
4.3979 1.4171 2.4579 Y
3.8486 -1.4171 7.3738 Y
```

---

# 16
A relaxed structure of HoHf2N4, computed with GGA-PBE.

Summary:
* ρ: 10.8 Mg/m³
* ΔE_f (raw): -1.489 eV/atom
* crystal system: orthorhombic
* spin magnetization: 0.00 μB per atom
* calculated total energy: -9.74 eV/atom
* SG: Cmcm, No. 63

Structure (POSCAR):
```
HoHf2N4
1.0
1.6056 -5.3378 0.0000
1.6056 5.3378 0.0000
0.0000 0.0000 10.3733
Ho Hf N
2 4 8
Cartesian
1.6056 4.1699 7.7800 Ho
1.6056 -4.1699 2.5933 Ho
1.6056 1.4075 5.9105 Hf
1.6056 1.4075 9.6495 Hf
1.6056 -1.4075 0.7238 Hf
1.6056 -1.4075 4.4629 Hf
0.0000 0.0000 0.0000 N
0.0000 0.0000 5.1867 N
1.6056 2.5101 1.2022 N
1.6056 2.5101 3.9845 N
1.6056 0.4682 7.7800 N
1.6056 -0.4682 2.5933 N
1.6056 -2.5101 6.3888 N
1.6056 -2.5101 9.1712 N
```

---

# 17
A relaxed structure of HfNb2Al2, computed with GGA-PBE.

Summary:
* ΔE_f: -0.34 eV per atom
* ρ: 7.7 Mg/m³
* crystal system: tetragonal
* spin magnetization: 0.00 μB per atom
* calculated total energy: -7.86 eV/atom
* distance to the lowest polymorph of the same formula: 0 meV/atom
* SG: P4/mbm, No. 127

Structure (POSCAR):
```
HfNb2Al2
1.0
7.2086 0.0000 0.0000
0.0000 7.2086 0.0000
0.0000 0.0000 3.4621
Hf Nb Al
2 4 4
Cartesian
0.0000 0.0000 0.0000 Hf
3.6043 3.6043 0.0000 Hf
1.2558 2.3485 1.7310 Nb
2.3485 5.9528 1.7310 Nb
4.8601 1.2558 1.7310 Nb
5.9528 4.8601 1.7310 Nb
0.8896 4.4940 0.0000 Al
2.7147 0.8896 0.0000 Al
4.4940 6.3190 0.0000 Al
6.3190 2.7147 0.0000 Al
```

---

# 18
A relaxed structure of Mg2PbW2, computed with GGA-PBE.

Summary:
* ΔE_f: 1.10 eV per atom
* ρ: 10.0 Mg/m³
* crystal system: tetragonal
* spin magnetization: 0.00 μB per atom
* calculated total energy: -5.46 eV/atom
* SG: I4/mmm, No. 139

Structure (POSCAR):
```
Mg2PbW2
1.0
3.8527 0.0000 0.0000
0.0000 3.8527 0.0000
0.0000 0.0000 13.9667
Mg Pb W
4 2 4
Cartesian
0.0000 1.9264 3.4917 Mg
0.0000 1.9264 10.4750 Mg
1.9264 0.0000 3.4917 Mg
1.9264 0.0000 10.4750 Mg
0.0000 0.0000 0.0000 Pb
1.9264 1.9264 6.9833 Pb
0.0000 0.0000 5.7529 W
0.0000 0.0000 8.2138 W
1.9264 1.9264 1.2305 W
1.9264 1.9264 12.7362 W
```

---

# 19
A relaxed structure of KScAl2, computed with GGA-PBE.

Summary:
* ΔE_f: 0.53 eV per atom
* ρ: 1.6 Mg/m³
* crystal system: tetragonal
* spin magnetization: 0.00 μB per atom
* calculated total energy: -3.20 eV/atom
* distance to the lowest polymorph of the same formula: 553 meV/atom
* SG: I-42d, No. 122

Structure (POSCAR):
```
KScAl2
1.0
5.3217 0.0000 0.0000
0.0000 5.3217 0.0000
0.0000 0.0000 20.0791
K Sc Al
4 4 8
Cartesian
0.0000 0.0000 0.0000 K
0.0000 2.6608 5.0198 K
2.6608 0.0000 15.0594 K
2.6608 2.6608 10.0396 K
0.0000 0.0000 10.0396 Sc
0.0000 2.6608 15.0594 Sc
2.6608 0.0000 5.0198 Sc
2.6608 2.6608 0.0000 Sc
0.0121 1.3304 12.5495 Al
1.3304 2.6730 17.5692 Al
1.3304 5.3096 7.5297 Al
2.6487 1.3304 2.5099 Al
2.6730 3.9913 2.5099 Al
3.9913 0.0121 7.5297 Al
3.9913 2.6487 17.5692 Al
5.3096 3.9913 12.5495 Al
```

---

# 20
A relaxed structure of PmPt4I, computed with GGA-PBE.

Summary:
* ρ: 14.7 Mg/m³
* ΔE_f (raw): -0.487 eV/atom
* crystal system: cubic
* spin magnetization: 0.00 μB per atom
* calculated total energy: -5.56 eV/atom
* SG: F-43m, No. 216

Structure (POSCAR):
```
PmPt4I
1.0
0.0000 3.9004 3.9004
3.9004 0.0000 3.9004
3.9004 3.9004 0.0000
Pm Pt I
1 4 1
Cartesian
0.0000 0.0000 0.0000 Pm
2.9236 2.9236 2.9236 Pt
4.8772 4.8772 2.9236 Pt
4.8772 2.9236 4.8772 Pt
2.9236 4.8772 4.8772 Pt
5.8506 5.8506 5.8506 I
```